BaP2Ru, optimized geometry, DFT GGA-PBE; DOS at the Fermi energy = 4.22 states/eV/f.u.; DFT formation energy = 2.2 eV per formula unit
1.0
2.823 -3.803 0.000
2.823 3.803 0.000
-0.024 0.000 3.888
Ba P Ru
1 2 1
direct
0.000 0.000 0.000
0.000 0.500 0.500
0.500 0.000 0.500
0.500 0.500 0.000